Here is a relaxed structure of KCd2Ga2Au6 from Alexandria via LeMat-Bulk. Energies are from PBE-GGA. Values from VASP.

Summary:
volume	21.76	Å³/atom
Fermi-level density of states	2.8	states/eV per cell
electronic total energy	-30.4	eV/cell

```
&SYSTEM
  ibrav = 0, nat = 11, ntyp = 4
/
ATOMIC_SPECIES
Cd 112.41 Cd.upf
Au 196.97 Au.upf
Ga 69.72 Ga.upf
K 39.10 K.upf
CELL_PARAMETERS angstrom
9.747 -0.460 -0.766
4.527 6.903 -4.417
0.030 -7.388 7.664
ATOMIC_POSITIONS crystal
Cd 0.135 0.046 0.011
Cd 0.865 0.954 0.989
Au 0.788 0.064 0.627
Au 0.824 0.474 0.554
Au 0.744 0.058 0.346
Au 0.212 0.936 0.373
Au 0.176 0.526 0.446
Au 0.256 0.942 0.654
Ga 0.337 0.288 0.026
Ga 0.663 0.712 0.974
K 0.500 0.000 0.500
```


Here is a relaxed structure of K2Cd2GaAu4 from Alexandria via LeMat-Bulk. Energies are from PBE-GGA. Values from VASP.

Summary:
volume	25.29	Å³/atom
Fermi-level density of states	1.6	states/eV per cell
electronic total energy	-21.9	eV/cell

```
&SYSTEM
  ibrav = 0, nat = 9, ntyp = 4
/
ATOMIC_SPECIES
K 39.10 K.upf
Au 196.97 Au.upf
Ga 69.72 Ga.upf
Cd 112.41 Cd.upf
CELL_PARAMETERS angstrom
6.733 0.160 0.231
-3.092 5.984 -0.231
-3.092 -2.319 5.521
ATOMIC_POSITIONS crystal
K 0.500 0.750 0.250
K 0.500 0.250 0.750
Au 0.516 0.258 0.258
Au 0.484 0.742 0.742
Au 0.000 0.258 0.742
Au 0.000 0.742 0.258
Ga 0.000 0.000 0.000
Cd 0.000 0.678 0.678
Cd 0.000 0.322 0.322
```


Here is a relaxed structure of KCd4GaAu2 from Alexandria via LeMat-Bulk. Energies are from PBE-GGA. Values from VASP.

Summary:
volume	23.09	Å³/atom
Fermi-level density of states	3.1	states/eV per cell
electronic total energy	-14.6	eV/cell

```
&SYSTEM
  ibrav = 0, nat = 8, ntyp = 4
/
ATOMIC_SPECIES
Cd 112.41 Cd.upf
Au 196.97 Au.upf
Ga 69.72 Ga.upf
K 39.10 K.upf
CELL_PARAMETERS angstrom
5.144 0.000 0.000
2.572 4.454 0.000
2.572 1.485 8.062
ATOMIC_POSITIONS crystal
Cd 0.860 0.860 0.421
Cd 0.615 0.615 0.155
Cd 0.385 0.385 0.845
Cd 0.140 0.140 0.579
Au 0.262 0.262 0.215
Au 0.738 0.738 0.785
Ga 0.500 0.500 0.500
K 0.000 0.000 0.000
```


Here is a relaxed structure of K2CdGaAu from Alexandria via LeMat-Bulk. Energies are from PBE-GGA. Values from VASP.

Summary:
volume	40.65	Å³/atom
Fermi-level density of states	3.3	states/eV per cell
electronic total energy	-9.7	eV/cell

```
&SYSTEM
  ibrav = 0, nat = 5, ntyp = 4
/
ATOMIC_SPECIES
Ga 69.72 Ga.upf
K 39.10 K.upf
Cd 112.41 Cd.upf
Au 196.97 Au.upf
CELL_PARAMETERS angstrom
6.484 0.000 0.000
0.000 6.484 0.000
0.000 0.000 4.834
ATOMIC_POSITIONS crystal
Ga 0.000 0.000 0.500
K 0.500 0.000 0.000
K 0.000 0.500 0.000
Cd 0.500 0.500 0.500
Au 0.000 0.000 0.000
```


Here is a relaxed structure of LaCd2GaAu2 from Alexandria via LeMat-Bulk. Energies are from PBE-GGA. Values from VASP.

Summary:
volume	27.06	Å³/atom
Fermi-level density of states	3.2	states/eV per cell
electronic total energy	-17.3	eV/cell

```
&SYSTEM
  ibrav = 0, nat = 6, ntyp = 4
/
ATOMIC_SPECIES
Au 196.97 Au.upf
Ga 69.72 Ga.upf
Cd 112.41 Cd.upf
La 138.91 La.upf
CELL_PARAMETERS angstrom
5.407 0.000 0.000
0.000 5.407 0.000
-2.704 -2.704 5.554
ATOMIC_POSITIONS crystal
Au 0.778 0.778 0.555
Au 0.222 0.222 0.445
Ga 0.000 0.000 0.000
Cd 0.250 0.750 0.500
Cd 0.750 0.250 0.500
La 0.500 0.500 0.000
```


Here is a relaxed structure of La2CdGa4Au3 from Alexandria via LeMat-Bulk. Energies are from PBE-GGA. Values from VASP.

Summary:
volume	21.71	Å³/atom
Fermi-level density of states	6.4	states/eV per cell
electronic total energy	-39.1	eV/cell

```
&SYSTEM
  ibrav = 0, nat = 10, ntyp = 4
/
ATOMIC_SPECIES
Au 196.97 Au.upf
Ga 69.72 Ga.upf
La 138.91 La.upf
Cd 112.41 Cd.upf
CELL_PARAMETERS angstrom
-1.421 4.172 -0.486
-2.534 -0.443 3.611
8.344 3.575 6.293
ATOMIC_POSITIONS crystal
Au 0.000 0.500 0.129
Au 0.000 0.000 0.500
Au 0.500 0.000 0.871
Ga 0.000 0.000 0.000
Ga 0.000 0.500 0.358
Ga 0.500 0.000 0.642
Ga 0.500 0.500 0.000
La 0.000 0.500 0.755
La 0.500 0.000 0.245
Cd 0.500 0.500 0.500
```


Here is a relaxed structure of LaCd2GaAu4 from Alexandria via LeMat-Bulk. Energies are from PBE-GGA. Values from VASP.

Summary:
volume	21.50	Å³/atom
Fermi-level density of states	2.7	states/eV per cell
electronic total energy	-26.1	eV/cell

```
&SYSTEM
  ibrav = 0, nat = 8, ntyp = 4
/
ATOMIC_SPECIES
Au 196.97 Au.upf
Ga 69.72 Ga.upf
La 138.91 La.upf
Cd 112.41 Cd.upf
CELL_PARAMETERS angstrom
4.718 0.000 0.000
2.359 4.086 0.000
2.359 1.362 8.919
ATOMIC_POSITIONS crystal
Au 0.131 0.131 0.606
Au 0.394 0.394 0.817
Au 0.869 0.869 0.394
Au 0.606 0.606 0.183
Ga 0.500 0.500 0.500
La 0.000 0.000 0.000
Cd 0.245 0.245 0.266
Cd 0.755 0.755 0.734
```


Here is a relaxed structure of La3CdGa2Au6 from Alexandria via LeMat-Bulk. Energies are from PBE-GGA. Values from VASP.

Summary:
volume	24.58	Å³/atom
Fermi-level density of states	6.7	states/eV per cell
electronic total energy	-47.6	eV/cell

```
&SYSTEM
  ibrav = 0, nat = 12, ntyp = 4
/
ATOMIC_SPECIES
Au 196.97 Au.upf
Cd 112.41 Cd.upf
La 138.91 La.upf
Ga 69.72 Ga.upf
CELL_PARAMETERS angstrom
6.294 0.000 0.000
-3.147 5.451 0.000
0.000 0.000 8.600
ATOMIC_POSITIONS crystal
Au 0.818 0.636 0.729
Au 0.364 0.182 0.729
Au 0.182 0.818 0.271
Au 0.636 0.818 0.271
Au 0.182 0.364 0.271
Au 0.818 0.182 0.729
Cd 0.000 0.000 0.500
La 0.667 0.333 0.364
La 0.000 0.000 0.000
La 0.333 0.667 0.636
Ga 0.667 0.333 0.986
Ga 0.333 0.667 0.014
```


Here is a relaxed structure of Li3Cd2Ga2Au4 from Alexandria via LeMat-Bulk. Energies are from PBE-GGA. Values from VASP.

Summary:
volume	17.99	Å³/atom
Fermi-level density of states	1.4	states/eV per cell
electronic total energy	-31.2	eV/cell

```
&SYSTEM
  ibrav = 0, nat = 11, ntyp = 4
/
ATOMIC_SPECIES
Li 6.94 Li.upf
Cd 112.41 Cd.upf
Au 196.97 Au.upf
Ga 69.72 Ga.upf
CELL_PARAMETERS angstrom
-2.649 3.464 1.224
0.027 -1.422 -4.301
-8.246 -7.120 2.302
ATOMIC_POSITIONS crystal
Li 0.000 0.000 0.261
Li 0.000 0.000 0.000
Li 0.000 0.000 0.739
Cd 0.333 0.667 0.577
Cd 0.667 0.333 0.423
Au 0.333 0.667 0.321
Au 0.333 0.667 0.850
Au 0.667 0.333 0.679
Au 0.667 0.333 0.150
Ga 0.333 0.667 0.088
Ga 0.667 0.333 0.912
```


Here is a relaxed structure of LiCd2Ga2Au5 from Alexandria via LeMat-Bulk. Energies are from PBE-GGA. Values from VASP.

Summary:
volume	18.79	Å³/atom
Fermi-level density of states	4.6	states/eV per cell
electronic total energy	-56.3	eV/cell

```
&SYSTEM
  ibrav = 0, nat = 20, ntyp = 4
/
ATOMIC_SPECIES
Au 196.97 Au.upf
Ga 69.72 Ga.upf
Li 6.94 Li.upf
Cd 112.41 Cd.upf
CELL_PARAMETERS angstrom
-0.058 -1.298 3.506
9.692 2.352 1.032
-2.563 9.104 3.328
ATOMIC_POSITIONS crystal
Au 0.500 0.298 0.519
Au 0.500 0.981 0.202
Au 0.500 0.019 0.798
Au 0.500 0.798 0.981
Au 0.500 0.702 0.481
Au 0.500 0.202 0.019
Au 0.500 0.000 0.500
Au 0.500 0.500 0.000
Au 0.500 0.519 0.702
Au 0.500 0.481 0.298
Ga 0.000 0.641 0.859
Ga 0.000 0.859 0.359
Ga 0.000 0.141 0.641
Ga 0.000 0.359 0.141
Li 0.000 0.000 0.000
Li 0.000 0.500 0.500
Cd 0.000 0.329 0.829
Cd 0.000 0.671 0.171
Cd 0.000 0.171 0.329
Cd 0.000 0.829 0.671
```


Here is a relaxed structure of LiCdGaAu2 from Alexandria via LeMat-Bulk. Energies are from PBE-GGA. Values from VASP.

Summary:
volume	18.30	Å³/atom
Fermi-level density of states	2.8	states/eV per cell
electronic total energy	-28.1	eV/cell

```
&SYSTEM
  ibrav = 0, nat = 10, ntyp = 4
/
ATOMIC_SPECIES
Ga 69.72 Ga.upf
Au 196.97 Au.upf
Li 6.94 Li.upf
Cd 112.41 Cd.upf
CELL_PARAMETERS angstrom
-0.579 -3.569 0.038
3.469 -0.494 6.558
-6.647 1.098 1.834
ATOMIC_POSITIONS crystal
Ga 0.750 0.020 0.231
Ga 0.250 0.980 0.769
Au 0.750 0.808 0.493
Au 0.250 0.236 0.099
Au 0.750 0.764 0.901
Au 0.250 0.192 0.507
Li 0.250 0.588 0.636
Li 0.750 0.412 0.364
Cd 0.750 0.362 0.825
Cd 0.250 0.638 0.175
```


Here is a relaxed structure of Li2CdGa2Au2 from Alexandria via LeMat-Bulk. Energies are from PBE-GGA. Values from VASP.

Summary:
volume	17.28	Å³/atom
Fermi-level density of states	1.5	states/eV per cell
electronic total energy	-20.1	eV/cell

```
&SYSTEM
  ibrav = 0, nat = 7, ntyp = 4
/
ATOMIC_SPECIES
Li 6.94 Li.upf
Cd 112.41 Cd.upf
Ga 69.72 Ga.upf
Au 196.97 Au.upf
CELL_PARAMETERS angstrom
-4.161 1.450 -0.859
2.440 -1.886 -3.270
-2.752 -5.453 4.132
ATOMIC_POSITIONS crystal
Li 0.137 0.275 0.412
Li 0.863 0.725 0.588
Cd 0.000 0.000 0.000
Ga 0.573 0.146 0.721
Ga 0.427 0.854 0.279
Au 0.264 0.528 0.793
Au 0.736 0.472 0.207
```